KFeIr2, optimized geometry, DFT PBE; mass density = 11.045 g cm⁻³; E above lowest polymorph = 0.712 eV per atom; energy = -22.67 eV per cell; calculated formation energy = 4.61 eV per formula unit
1.0
5.3483 0.0000 0.0000
0.0000 5.3483 0.0000
0.0000 0.0000 2.5196
Ir K Fe
2 1 1
direct
0.0000 0.0000 0.0000
0.5000 0.5000 0.0000
0.5000 0.0000 0.5000
0.0000 0.5000 0.5000

=====

Li2BeAg, optimized geometry, DFT PBE; mass density = 3.854 g cm⁻³; energy = -10.15 eV per cell; calculated formation energy = 0.26 eV per formula unit
1.0
4.6170 -0.1425 0.1400
3.6455 2.8367 0.1400
1.4864 0.4847 4.1884
Be Ag Li
1 1 2
direct
0.2450 0.2450 0.2989
0.5181 0.5181 0.4464
0.9853 0.9853 0.9904
0.7516 0.7516 0.7642

=====

Nd2HoHg, optimized geometry, DFT PBE; mass density = 8.791 g cm⁻³; E above lowest polymorph = 0.016 eV per atom; energy = -15.26 eV per cell; calculated formation energy = -0.85 eV per formula unit
1.0
-1.2213 -2.0956 -2.8158
2.8307 -2.3509 0.5218
-4.9947 -4.7488 5.7004
Ho Nd Hg
1 2 1
direct
0.5000 0.5000 0.5000
0.0000 0.0000 0.7743
0.0000 0.0000 0.2257
0.5000 0.5000 0.0000